The following is a PBE+U calculation of an optimized crystal structure of KMnBeF6, from Alexandria.

```
KMnBeF6
1.0
-4.244 -1.303 2.155
4.290 -1.640 1.807
0.652 9.351 6.940
F Be K Mn
12 2 2 2
Direct
0.980 0.367 0.163
0.020 0.388 0.663
0.367 0.388 0.837
0.612 0.633 0.663
0.612 0.980 0.837
0.980 0.612 0.337
0.020 0.633 0.837
0.388 0.020 0.163
0.633 0.020 0.337
0.367 0.980 0.663
0.388 0.367 0.337
0.633 0.612 0.163
0.333 0.667 0.750
0.667 0.333 0.250
0.000 0.000 0.000
0.000 0.000 0.500
0.333 0.667 0.250
0.667 0.333 0.750
```

The uncorrected energy comes out at -5.22 eV/atom. As for the density: 2.930 g cm⁻³. As for the total magnetization: 4.0 Bohr magnetons per cell. The symmetry is No. 163.